(1)
The following is a DFT calculation (meta-GGA SCAN) of BeSbOs2 at its PBEsol-relaxed geometry.

Unit cell a=2.9454 b=3.7143 c=5.3678 alpha=90.00 beta=103.69 gamma=90.00
Fractional positions:
Be (0.0000, 0.0000, 0.0000)
Sb (0.0000, 0.0000, 0.5000)
Os (0.3550, 0.5000, 0.2164)
Os (0.6450, 0.5000, 0.7836)

Properties
SG: P2/m (10)
E_form (uncorrected): 0.35 eV/atom
volume: 57.1 Å³ per cell
density of states at the Fermi level: 1.60 states/eV/cell

(2)
The following is a DFT calculation (meta-GGA SCAN) of K2ScRu at its PBEsol-relaxed geometry.

Unit cell a=3.4669 b=3.4669 c=10.4293 alpha=90.00 beta=90.00 gamma=90.00
Fractional positions:
K (0.0000, 0.0000, 0.0000)
K (0.5000, 0.5000, 0.3924)
Sc (0.5000, 0.5000, 0.7138)
Ru (0.0000, 0.0000, 0.6290)

Properties
SG: P4mm (99)
calculated formation energy: 6.41 kcal/mol of atoms
volume: 125.4 Å³ per cell
density of states at the Fermi level: 1.91 states/eV/cell

(3)
The following is a DFT calculation (meta-GGA SCAN) of CsRb2CdB at its PBEsol-relaxed geometry.

Unit cell a=6.6949 b=6.6949 c=4.4299 alpha=90.00 beta=90.00 gamma=90.00
Fractional positions:
Cs (0.0000, 0.0000, 0.0000)
Rb (0.0000, 0.5000, 0.5000)
Rb (0.5000, 0.0000, 0.5000)
Cd (0.5000, 0.5000, 0.0000)
B (0.5000, 0.5000, 0.5000)

Properties
SG: P4/mmm (123)
calculated formation energy: 12.09 kcal/mol of atoms
volume: 198.6 Å³ per cell
density of states at the Fermi level: 2.02 states/eV/cell

(4)
The following is a DFT calculation (meta-GGA SCAN) of Hg2OsPb at its PBEsol-relaxed geometry.

Unit cell a=3.0810 b=3.0810 c=8.7666 alpha=90.00 beta=90.00 gamma=90.00
Fractional positions:
Hg (0.0000, 0.0000, 0.2063)
Hg (0.0000, 0.0000, 0.7937)
Os (0.5000, 0.5000, 0.0000)
Pb (0.5000, 0.5000, 0.5000)

Properties
SG: P4/mmm (123)
calculated formation energy: 18.45 kcal/mol of atoms
volume: 83.2 Å³ per cell
density of states at the Fermi level: 2.34 states/eV/cell

(5)
The following is a DFT calculation (meta-GGA SCAN) of HgAuCl2 at its PBEsol-relaxed geometry.

Unit cell a=3.2866 b=3.2866 c=7.4960 alpha=90.00 beta=90.00 gamma=90.00
Fractional positions:
Hg (0.0000, 0.0000, 0.0000)
Au (0.0000, 0.0000, 0.5000)
Cl (0.5000, 0.5000, 0.2776)
Cl (0.5000, 0.5000, 0.7224)

Properties
SG: P4/mmm (123)
E_form (uncorrected): 0.15 eV/atom
volume: 81.0 Å³ per cell
density of states at the Fermi level: 2.30 states/eV/cell

(6)
The following is a DFT calculation (meta-GGA SCAN) of Bi2Se3 at its PBEsol-relaxed geometry.

Unit cell a=11.6865 b=4.1069 c=11.3987 alpha=90.00 beta=90.00 gamma=90.00
Fractional positions:
Bi (0.0063, 0.2500, 0.1725)
Bi (0.1614, 0.7500, 0.4642)
Bi (0.3386, 0.2500, 0.9642)
Bi (0.4937, 0.7500, 0.6725)
Bi (0.5063, 0.2500, 0.3275)
Bi (0.6614, 0.7500, 0.0358)
Bi (0.8386, 0.2500, 0.5358)
Bi (0.9937, 0.7500, 0.8275)
Se (0.0544, 0.2500, 0.6333)
Se (0.1268, 0.7500, 0.0544)
Se (0.2197, 0.2500, 0.3011)
Se (0.2803, 0.7500, 0.8011)
Se (0.3732, 0.2500, 0.5544)
Se (0.4456, 0.7500, 0.1333)
Se (0.5544, 0.2500, 0.8667)
Se (0.6268, 0.7500, 0.4456)
Se (0.7197, 0.2500, 0.1989)
Se (0.7803, 0.7500, 0.6989)
Se (0.8732, 0.2500, 0.9456)
Se (0.9456, 0.7500, 0.3667)

Properties
SG: Pnma (62)
E_form (uncorrected): -0.29 eV/atom
volume: 547.1 Å³ per cell

Number 1: calculated density 14.88 g/cm³. Number 2: calculated density 2.97 g/cm³. Number 3: calculated density 3.57 g/cm³. Number 4: calculated density 15.94 g/cm³. Number 5: calculated density 9.61 g/cm³. Number 6: calculated density 7.95 g/cm³.